Record 1
This record from Alexandria describes an optimized crystal structure of Pr2Pa4Rh9. The functional is PBE.

Unit cell a=4.5964 b=4.5964 c=17.3387 alpha=90.00 beta=90.00 gamma=120.00
Space group P-3m1 (No. 164)
Unique sites:
Pr  0.3333  0.6667  0.2511
Pa  0.3333  0.6667  0.5980
Pa  0.3333  0.6667  0.9105
Rh  0.0000  0.0000  0.0000
Rh  0.0000  0.0000  0.1627
Rh  0.0000  0.0000  0.3430
Rh  0.3333  0.6667  0.0793
Rh  0.3333  0.6667  0.4322

Summary:
Crystal system: trigonal
Spin magnetization in μB per cell: 0.00
D(E_F) in states/eV per cell: 17.10
Energy in eV per atom: -8.255

---

Record 2
This record from Alexandria describes an optimized crystal structure of Pr2Pa2Rh5. The functional is PBE.

Unit cell a=14.398 b=7.502 c=7.633 alpha=90.00 beta=90.00 gamma=90.00
Space group Cmce (No. 64)
Unique sites:
Pr  0.202  0.000  0.000
Pa  0.000  0.164  0.334
Rh  0.000  0.000  0.000
Rh  0.113  0.141  0.634

Summary:
Crystal system: orthorhombic
Spin magnetization in μB per cell: 0.00
D(E_F) in states/eV per cell: 20.24
Energy in eV per atom: -7.924

---

Record 3
This record from Alexandria describes an optimized crystal structure of PrPaRh. The functional is PBE.

Unit cell a=3.603 b=3.603 c=11.489 alpha=90.00 beta=90.00 gamma=90.00
Space group I4mm (No. 107)
Unique sites:
Pr  0.000  0.000  0.000
Pa  0.000  0.000  0.299
Rh  0.000  0.000  0.705

Summary:
Crystal system: tetragonal
Spin magnetization in μB per cell: 0.00
D(E_F) in states/eV per cell: 7.30
Polymorph energy (0 for the lowest one) in eV per atom: 0.000
Energy in eV per atom: -7.641

---

Record 4
This record from Alexandria describes an optimized crystal structure of PrPaRh3. The functional is PBE.

Unit cell a=5.528 b=4.222 c=9.284 alpha=90.00 beta=90.00 gamma=90.00
Space group Pmma (No. 51)
Unique sites:
Pr  0.250  0.000  0.152
Pa  0.250  0.500  0.664
Rh  0.000  0.000  0.500
Rh  0.250  0.500  0.378
Rh  0.250  0.500  0.924

Summary:
Crystal system: orthorhombic
Spin magnetization in μB per cell: 0.00
D(E_F) in states/eV per cell: 7.52
Polymorph energy (0 for the lowest one) in eV per atom: 0.000
Energy in eV per atom: -7.980

---

Record 5
This record from Alexandria describes an optimized crystal structure of PrPaRh. The functional is PBE.

Unit cell a=4.5165 b=4.5165 c=4.5768 alpha=90.00 beta=90.00 gamma=120.00
Space group P-6m2 (No. 187)
Unique sites:
Pr  0.0000  0.0000  0.0000
Pa  0.6667  0.3333  0.5000
Rh  0.3333  0.6667  0.5000

Summary:
Crystal system: hexagonal
Spin magnetization in μB per cell: 0.00
D(E_F) in states/eV per cell: 4.45
Polymorph energy (0 for the lowest one) in eV per atom: 0.239
Energy in eV per atom: -7.402

---

Record 6
This record from Alexandria describes an optimized crystal structure of PrPa2Rh3. The functional is PBE.

Unit cell a=5.3642 b=5.3642 c=10.5262 alpha=90.00 beta=90.00 gamma=120.00
Space group P6_3/mmc (No. 194)
Unique sites:
Pr  0.3333  0.6667  0.2500
Pa  0.0000  0.0000  0.0000
Pa  0.3333  0.6667  0.7500
Rh  0.0000  0.0000  0.2500
Rh  0.3333  0.6667  0.5226

Summary:
Crystal system: hexagonal
Spin magnetization in μB per cell: 0.00
D(E_F) in states/eV per cell: 15.92
Energy in eV per atom: -8.239

---

Record 7
This record from Alexandria describes an optimized crystal structure of PrPaRh. The functional is PBE.

Unit cell a=7.369 b=6.344 c=6.696 alpha=90.00 beta=92.36 gamma=90.00
Space group P2_1/c (No. 14)
Unique sites:
Pr  0.121  0.001  0.254
Pa  0.499  0.722  0.000
Rh  0.279  0.001  0.811

Summary:
Crystal system: monoclinic
Spin magnetization in μB per cell: 0.00
D(E_F) in states/eV per cell: 17.51
Polymorph energy (0 for the lowest one) in eV per atom: 0.019
Energy in eV per atom: -7.622

---

Record 8
This record from Alexandria describes an optimized crystal structure of Pr2PaRh4. The functional is PBE.

Unit cell a=4.576 b=4.576 c=14.694 alpha=90.00 beta=90.00 gamma=90.00
Space group I4/mmm (No. 139)
Unique sites:
Pr  0.000  0.000  0.227
Pa  0.000  0.000  0.500
Rh  0.000  0.500  0.101

Summary:
Crystal system: tetragonal
Spin magnetization in μB per cell: 0.00
D(E_F) in states/eV per cell: 8.89
Energy in eV per atom: -7.374